! PBE Ho7Ga2Ag2, relaxed; values from VASP
! energy of formation	-0.042	eV/atom
! symmetry	Cmmm, No. 65
&SYSTEM
  ibrav = 0, nat = 11, ntyp = 3
/
ATOMIC_SPECIES
Ho 164.93 Ho.upf
Ga 69.72 Ga.upf
Ag 107.87 Ag.upf
ATOMIC_POSITIONS crystal
Ho 0.0000 0.0000 0.0000
Ho 0.0000 0.5000 0.2839
Ho 0.0000 0.5000 0.7161
Ho 0.5000 0.0000 0.2839
Ho 0.5000 0.0000 0.7161
Ho 0.5000 0.5000 0.2694
Ho 0.5000 0.5000 0.7306
Ga 0.1685 0.1685 0.5000
Ga 0.8315 0.8315 0.5000
Ag 0.2932 0.7068 0.0000
Ag 0.7068 0.2932 0.0000
CELL_PARAMETERS angstrom
3.8124 -5.3962 0.0000
3.8124 5.3962 0.0000
0.0000 0.0000 7.4198